(1)
ReNiAs (PBE, relaxed); energy relative to the lowest polymorph listed for this composition = 1 kJ/mol of formula units; E_form = 225 meV/atom; total magnetization = 0.00 μB/cell; VASP energy = -7.4014 eV per atom; space-group type = P3m1
1.0
2.8819 0.0000 0.0000
-1.4409 2.4958 0.0000
0.0000 0.0000 5.8952
Re Ni As
1 1 1
Direct
0.0000 0.0000 0.0000
0.3333 0.6667 0.6563
0.6667 0.3333 0.3323

(2)
ReNiAsRh2 (PBE, relaxed); E_form = 1306 meV/atom; total magnetization = 3.07 μB/cell; VASP energy = -6.2104 eV per atom; space-group type = P4/mmm
1.0
4.5311 0.0000 0.0000
0.0000 4.5311 0.0000
0.0000 0.0000 4.1567
Re Ni As Rh
1 1 1 2
Direct
0.0000 0.0000 0.0000
0.5000 0.5000 0.5000
0.5000 0.5000 0.0000
0.0000 0.5000 0.5000
0.5000 0.0000 0.5000

(3)
ReNiAsS2 (PBE, relaxed); formation energy from raw total energies = 1121 meV per atom; total magnetization = 2.87 μB/cell; VASP energy = -5.1054 eV per atom; space-group type = P4/mmm
1.0
4.2220 0.0000 0.0000
0.0000 4.2220 0.0000
0.0000 0.0000 5.0880
Re Ni As S
1 1 1 2
Direct
0.0000 0.0000 0.0000
0.0000 0.0000 0.5000
0.5000 0.5000 0.0000
0.0000 0.5000 0.5000
0.5000 0.0000 0.5000

(4)
ReNiAs2Se (PBE, relaxed); energy relative to the lowest polymorph listed for this composition = 0 kJ/mol of formula units; formation energy from raw total energies = 994 meV per atom; total magnetization = 0.76 μB/cell; VASP energy = -5.2082 eV per atom; space-group type = P4/mmm
1.0
4.7501 0.0000 0.0000
0.0000 4.7501 0.0000
0.0000 0.0000 5.0252
Re Ni As Se
1 1 2 1
Direct
0.0000 0.0000 0.0000
0.5000 0.5000 0.5000
0.0000 0.5000 0.0000
0.5000 0.0000 0.0000
0.0000 0.0000 0.5000

(5)
ReSiNiAs2 (PBE, relaxed); energy relative to the lowest polymorph listed for this composition = 0 kJ/mol of formula units; formation energy from raw total energies = 962 meV per atom; total magnetization = 0.00 μB/cell; VASP energy = -5.6280 eV per atom; space-group type = P4/mmm
1.0
4.7369 0.0000 0.0000
0.0000 4.7369 0.0000
0.0000 0.0000 4.7144
Re Si Ni As
1 1 1 2
Direct
0.0000 0.0000 0.0000
0.5000 0.5000 0.5000
0.0000 0.0000 0.5000
0.0000 0.5000 0.0000
0.5000 0.0000 0.0000

(6)
ReSiNiAs2 (PBE, relaxed); energy relative to the lowest polymorph listed for this composition = 148 kJ/mol of formula units; formation energy from raw total energies = 1270 meV per atom; total magnetization = 2.75 μB/cell; VASP energy = -5.3208 eV per atom; space-group type = P4/mmm
1.0
4.7028 0.0000 0.0000
0.0000 4.7028 0.0000
0.0000 0.0000 4.1344
Re Si Ni As
1 1 1 2
Direct
0.0000 0.0000 0.0000
0.5000 0.5000 0.5000
0.5000 0.5000 0.0000
0.0000 0.5000 0.5000
0.5000 0.0000 0.5000

(7)
ReTcNiAs2 (PBE, relaxed); E_form = 1454 meV/atom; total magnetization = 3.76 μB/cell; VASP energy = -6.1250 eV per atom; space-group type = P4/mmm
1.0
4.7014 0.0000 0.0000
0.0000 4.7014 0.0000
0.0000 0.0000 4.5143
Re Tc Ni As
1 1 1 2
Direct
0.0000 0.0000 0.0000
0.5000 0.5000 0.5000
0.5000 0.5000 0.0000
0.0000 0.5000 0.5000
0.5000 0.0000 0.5000

(8)
NiAsRh2 (PBE, relaxed); E_form = -37 meV/atom; total magnetization = 1.28 μB/cell; VASP energy = -6.3203 eV per atom; space-group type = Pmm2
1.0
2.8650 0.0000 0.0000
0.0000 3.7405 0.0000
0.0000 0.0000 5.2366
Ni As Rh
1 1 2
Direct
0.0000 0.0000 0.0000
0.5000 0.5000 0.7079
0.0000 0.0000 0.4949
0.5000 0.5000 0.1848

(9)
NiAsRh2 (PBE, relaxed); E_form = 44 meV/atom; total magnetization = 0.00 μB/cell; VASP energy = -6.2396 eV per atom; space-group type = F-43m
1.0
6.0648 0.0000 0.0000
0.0000 6.0648 0.0000
0.0000 0.0000 6.0648
Ni As Rh
4 4 8
Direct
0.0000 0.0000 0.0000
0.0000 0.5000 0.5000
0.5000 0.0000 0.5000
0.5000 0.5000 0.0000
0.2500 0.2500 0.7500
0.2500 0.7500 0.2500
0.7500 0.2500 0.2500
0.7500 0.7500 0.7500
0.0000 0.0000 0.5000
0.0000 0.5000 0.0000
0.2500 0.2500 0.2500
0.2500 0.7500 0.7500
0.5000 0.0000 0.0000
0.5000 0.5000 0.5000
0.7500 0.2500 0.7500
0.7500 0.7500 0.2500

(10)
NiAsRh2 (PBE, relaxed); E_form = -7 meV/atom; total magnetization = 0.91 μB/cell; VASP energy = -6.2901 eV per atom; space-group type = P4mm
1.0
2.9573 0.0000 0.0000
0.0000 2.9573 0.0000
0.0000 0.0000 6.3002
Ni As Rh
1 1 2
Direct
0.0000 0.0000 0.0000
0.5000 0.5000 0.7922
0.0000 0.0000 0.5445
0.5000 0.5000 0.2519

(11)
Ni2AsRh2 (PBE, relaxed); energy relative to the lowest polymorph listed for this composition = 3 kJ/mol of formula units; E_form = 96 meV/atom; total magnetization = 3.24 μB/cell; VASP energy = -6.0867 eV per atom; space-group type = P4/mbm
1.0
6.2121 0.0000 0.0000
0.0000 6.2121 0.0000
0.0000 0.0000 3.7713
Ni As Rh
4 2 4
Direct
0.1423 0.3577 0.0000
0.3577 0.8577 0.0000
0.6423 0.1423 0.0000
0.8577 0.6423 0.0000
0.0000 0.0000 0.5000
0.5000 0.5000 0.5000
0.1499 0.6499 0.5000
0.3501 0.1499 0.5000
0.6499 0.8501 0.5000
0.8501 0.3501 0.5000

(12)
NiAsRh2 (PBE, relaxed); E_form = -70 meV/atom; total magnetization = 0.79 μB/cell; VASP energy = -6.3536 eV per atom; space-group type = Pmmm
1.0
2.9632 0.0000 0.0000
0.0000 3.2862 0.0000
0.0000 0.0000 5.6557
Ni As Rh
1 1 2
Direct
0.0000 0.0000 0.0000
0.0000 0.0000 0.5000
0.5000 0.5000 0.2455
0.5000 0.5000 0.7545

(13)
NiAsRh4 (PBE, relaxed); E_form = 488 meV/atom; total magnetization = 2.41 μB/cell; VASP energy = -6.1511 eV per atom; space-group type = F-43m
1.0
0.0000 3.6183 3.6183
3.6183 0.0000 3.6183
3.6183 3.6183 0.0000
Ni As Rh
1 1 4
Direct
0.0000 0.0000 0.0000
0.2500 0.2500 0.2500
0.1245 0.6252 0.6252
0.6252 0.1245 0.6252
0.6252 0.6252 0.1245
0.6252 0.6252 0.6252

(14)
NiAs2Rh3 (PBE, relaxed); energy relative to the lowest polymorph listed for this composition = 13 kJ/mol of formula units; E_form = -344 meV/atom; total magnetization = 0.00 μB/cell; VASP energy = -6.5327 eV per atom; space-group type = Pmc2_1
1.0
3.9162 0.0000 0.0000
0.0000 7.4545 0.0000
0.0000 0.0000 5.9212
Ni As Rh
2 4 6
Direct
0.0000 0.0819 0.0000
0.0000 0.9181 0.5000
0.0000 0.3610 0.7982
0.0000 0.6390 0.2982
0.5000 0.1371 0.2708
0.5000 0.8629 0.7708
0.0000 0.3187 0.3865
0.0000 0.6813 0.8865
0.5000 0.1726 0.6822
0.5000 0.4246 0.0630
0.5000 0.5754 0.5630
0.5000 0.8274 0.1822

(15)
Ni5As2Rh (PBE, relaxed); E_form = -146 meV/atom; total magnetization = 0.00 μB/cell; VASP energy = -5.8404 eV per atom; space-group type = Pnma
1.0
15.6802 0.0000 0.0000
0.0000 3.7197 0.0000
0.0000 0.0000 7.3206
Ni As Rh
20 8 4
Direct
0.0035 0.2500 0.1276
0.0122 0.7500 0.3748
0.1897 0.7500 0.8678
0.1915 0.7500 0.3948
0.2045 0.2500 0.6339
0.2955 0.7500 0.1339
0.3085 0.2500 0.8948
0.3103 0.2500 0.3678
0.4878 0.2500 0.8748
0.4965 0.7500 0.6276
0.5035 0.2500 0.3724
0.5122 0.7500 0.1252
0.6897 0.7500 0.6322
0.6915 0.7500 0.1052
0.7045 0.2500 0.8661
0.7955 0.7500 0.3661
0.8085 0.2500 0.6052
0.8103 0.2500 0.1322
0.9878 0.2500 0.6252
0.9965 0.7500 0.8724
0.0932 0.2500 0.8558
0.0995 0.2500 0.4058
0.4005 0.7500 0.9058
0.4068 0.7500 0.3558
0.5932 0.2500 0.6442
0.5995 0.2500 0.0942
0.9005 0.7500 0.5942
0.9068 0.7500 0.1442
0.1809 0.2500 0.1274
0.3191 0.7500 0.6274
0.6809 0.2500 0.3726
0.8191 0.7500 0.8726

(16)
NiAsRh2 (PBE, relaxed); E_form = 23 meV/atom; total magnetization = 2.38 μB/cell; VASP energy = -6.2609 eV per atom; space-group type = R-3m
1.0
2.8658 0.0000 0.0000
-1.4329 2.4819 0.0000
0.0000 0.0000 23.9387
Ni As Rh
3 3 6
Direct
0.0000 0.0000 0.0000
0.3333 0.6667 0.6667
0.6667 0.3333 0.3333
0.0000 0.0000 0.5000
0.3333 0.6667 0.1667
0.6667 0.3333 0.8333
0.0000 0.0000 0.2472
0.0000 0.0000 0.7528
0.3333 0.6667 0.4195
0.3333 0.6667 0.9138
0.6667 0.3333 0.0862
0.6667 0.3333 0.5805

(17)
NiAsRh2 (PBE, relaxed); E_form = -171 meV/atom; total magnetization = 1.14 μB/cell; VASP energy = -6.4549 eV per atom; space-group type = Immm
1.0
3.8011 0.0000 0.0000
0.0000 4.1191 0.0000
0.0000 0.0000 6.9693
Ni As Rh
2 2 4
Direct
0.0000 0.0000 0.0000
0.5000 0.5000 0.5000
0.0000 0.0000 0.5000
0.5000 0.5000 0.0000
0.0000 0.5000 0.2302
0.0000 0.5000 0.7698
0.5000 0.0000 0.2698
0.5000 0.0000 0.7302

(18)
NiAs2Rh3 (PBE, relaxed); energy relative to the lowest polymorph listed for this composition = 0 kJ/mol of formula units; E_form = -367 meV/atom; total magnetization = 0.00 μB/cell; VASP energy = -6.5559 eV per atom; space-group type = Ibam
1.0
-2.6133 6.2283 2.6590
2.6133 -6.2283 2.6590
2.6133 6.2283 -2.6590
Ni As Rh
2 4 6
Direct
0.2500 0.2500 0.0000
0.7500 0.7500 0.0000
0.1261 0.2438 0.3699
0.3739 0.7438 0.1177
0.6261 0.2562 0.8823
0.8739 0.7562 0.6301
0.1842 0.7715 0.9557
0.2500 0.7500 0.5000
0.3158 0.2715 0.5873
0.6842 0.7285 0.4127
0.7500 0.2500 0.5000
0.8158 0.2285 0.0443

(19)
NiAsRh2 (PBE, relaxed); E_form = -163 meV/atom; total magnetization = 0.01 μB/cell; VASP energy = -6.4462 eV per atom; space-group type = P4/mmm
1.0
3.9066 0.0000 0.0000
0.0000 3.9066 0.0000
0.0000 0.0000 3.5582
Ni As Rh
1 1 2
Direct
0.0000 0.0000 0.0000
0.5000 0.5000 0.0000
0.0000 0.5000 0.5000
0.5000 0.0000 0.5000

(20)
Ni2As2Rh (PBE, relaxed); energy relative to the lowest polymorph listed for this composition = 199 kJ/mol of formula units; E_form = 255 meV/atom; total magnetization = 0.00 μB/cell; VASP energy = -5.3876 eV per atom; space-group type = I4/mmm
1.0
3.8937 0.0000 0.0000
0.0000 3.8937 0.0000
0.0000 0.0000 9.9320
Ni As Rh
4 4 2
Direct
0.0000 0.0000 0.1164
0.0000 0.0000 0.8836
0.5000 0.5000 0.3836
0.5000 0.5000 0.6164
0.0000 0.5000 0.2500
0.0000 0.5000 0.7500
0.5000 0.0000 0.2500
0.5000 0.0000 0.7500
0.0000 0.0000 0.5000
0.5000 0.5000 0.0000